Record 1
A relaxed Zr4Mo crystal. Source: Alexandria, functional GGA-PBE.

The structure in extended XYZ format:
```
5
Lattice="5.032 0.000 0.000 0.000 5.032 0.000 0.000 0.000 5.032" Properties=species:S:1:pos:R:3 pbc="T T T"
Mo 2.516 2.516 2.516
Zr 0.000 0.000 0.000
Zr 2.516 0.000 2.516
Zr 0.000 2.516 2.516
Zr 2.516 2.516 0.000
```

***

Record 2
A relaxed Zr4Mo3 crystal. Source: Alexandria, functional GGA-PBE.

The structure in extended XYZ format:
```
7
Lattice="-1.646 1.646 12.608 1.646 -1.646 12.608 1.646 1.646 -12.608" Properties=species:S:1:pos:R:3 pbc="T T T"
Zr 0.000 0.000 21.437
Zr 0.000 0.000 14.246
Zr 0.000 0.000 10.969
Zr 0.000 0.000 3.779
Mo 0.000 0.000 0.000
Mo 0.000 0.000 18.205
Mo 0.000 0.000 7.011
```

***

Record 3
A relaxed Zr3Mo crystal. Source: Alexandria, functional GGA-PBE.

The structure in extended XYZ format:
```
8
Lattice="-5.140 -0.277 -3.638 0.569 -3.860 4.951 -2.205 3.344 2.861" Properties=species:S:1:pos:R:3 pbc="T T T"
Zr -4.699 -0.064 -1.430
Zr -2.077 -0.729 5.604
Zr -4.427 -1.911 0.939
Zr -2.350 1.118 3.235
Zr -2.240 0.069 0.311
Zr -4.537 -0.862 3.863
Mo -1.885 -1.830 2.803
Mo -4.891 1.037 1.371
```

***

Record 4
A relaxed ZrMo5 crystal. Source: Alexandria, functional GGA-PBE.

The structure in extended XYZ format:
```
6
Lattice="2.420 -4.191 0.000 2.420 4.191 0.000 0.000 0.000 5.056" Properties=species:S:1:pos:R:3 pbc="T T T"
Zr 0.000 0.000 2.528
Mo 1.593 -2.759 0.000
Mo 1.653 0.000 0.000
Mo 1.593 2.759 0.000
Mo 2.420 -1.397 2.528
Mo 2.420 1.397 2.528
```

***

| no. | total energy (eV/atom) |
| --- | --- |
| 1 | -8.340 |
| 2 | -9.510 |
| 3 | -8.921 |
| 4 | -10.026 |